Material: CrI2
Method: DFT, PBE
State: relaxed

a = 7.858 Å, b = 3.945 Å, c = 8.100 Å
α = 90.00°, β = 115.33°, γ = 90.00°
Positions (direct):
Cr  0.000  0.000  0.000
Cr  0.500  0.500  0.000
I  0.223  0.500  0.223
I  0.277  0.000  0.777
I  0.723  0.000  0.223
I  0.777  0.500  0.777

Output
magnetic moment	4.0	μB/f.u.
symmetry	C2/m, No. 12
formation energy from raw total energies	-0.860	eV per formula unit

Material: AcSi3TcOs
Method: DFT, PBE
State: relaxed

a = 6.682 Å, b = 6.682 Å, c = 6.579 Å
α = 90.00°, β = 90.00°, γ = 125.25°
Positions (direct):
Ac  0.238  0.762  0.750
Ac  0.762  0.238  0.250
Si  0.204  0.204  0.000
Si  0.204  0.204  0.500
Si  0.293  0.707  0.250
Si  0.707  0.293  0.750
Si  0.796  0.796  0.000
Si  0.796  0.796  0.500
Tc  0.480  0.520  0.250
Tc  0.520  0.480  0.750
Os  0.104  0.896  0.250
Os  0.896  0.104  0.750

Output
magnetic moment	0.0	μB/f.u.
symmetry	Cmcm, No. 63
formation energy from raw total energies	-2.528	eV per formula unit

Material: CsNa2TeI
Method: DFT, PBE
State: relaxed

a = 5.094 Å, b = 5.094 Å, c = 16.544 Å
α = 90.00°, β = 90.00°, γ = 90.00°
Positions (direct):
Cs  0.000  0.000  0.000
Cs  0.500  0.500  0.500
Na  0.000  0.500  0.217
Na  0.000  0.500  0.717
Na  0.500  0.000  0.217
Na  0.500  0.000  0.717
Te  0.000  0.000  0.616
Te  0.500  0.500  0.116
I  0.000  0.000  0.335
I  0.500  0.500  0.835

Output
magnetic moment	0.0	μB/f.u.
symmetry	I4mm, No. 107
excess energy over the best structure of this formula in the dataset	0.00	kcal/mol of atoms
formation energy from raw total energies	-5.524	eV per formula unit

Material: PrH7Pd2Rh2
Method: DFT, PBE
State: relaxed

a = 7.056 Å, b = 7.056 Å, c = 7.056 Å
α = 38.50°, β = 38.50°, γ = 38.50°
Positions (direct):
Pr  0.000  0.000  0.000
H  0.004  0.587  0.587
H  0.413  0.413  0.996
H  0.413  0.996  0.413
H  0.500  0.500  0.500
H  0.587  0.004  0.587
H  0.587  0.587  0.004
H  0.996  0.413  0.413
Pd  0.195  0.195  0.195
Pd  0.805  0.805  0.805
Rh  0.419  0.419  0.419
Rh  0.581  0.581  0.581

Output
magnetic moment	0.0	μB/f.u.
symmetry	R-3m, No. 166
total energy	-54.72	eV for the cell shown

Material: EuScZnAu
Method: DFT, PBE
State: relaxed

a = 7.129 Å, b = 7.129 Å, c = 7.129 Å
α = 90.00°, β = 90.00°, γ = 90.00°
Positions (direct):
Eu  0.000  0.000  0.000
Eu  0.000  0.500  0.500
Eu  0.500  0.000  0.500
Eu  0.500  0.500  0.000
Sc  0.000  0.000  0.500
Sc  0.000  0.500  0.000
Sc  0.500  0.000  0.000
Sc  0.500  0.500  0.500
Zn  0.250  0.250  0.250
Zn  0.250  0.750  0.750
Zn  0.750  0.250  0.750
Zn  0.750  0.750  0.250
Au  0.250  0.250  0.750
Au  0.250  0.750  0.250
Au  0.750  0.250  0.250
Au  0.750  0.750  0.750

Output
magnetic moment	7.1	μB/f.u.
symmetry	F-43m, No. 216
total energy	-91.76	eV for the cell shown

Material: CePm3Dy2Te6
Method: DFT, PBE
State: relaxed

a = 9.903 Å, b = 9.903 Å, c = 8.929 Å
α = 102.84°, β = 102.84°, γ = 25.70°
Positions (direct):
Ce  0.000  0.000  0.000
Pm  0.000  0.000  0.500
Pm  0.337  0.337  0.167
Pm  0.663  0.663  0.833
Dy  0.335  0.335  0.669
Dy  0.665  0.665  0.331
Te  0.169  0.169  0.091
Te  0.170  0.170  0.578
Te  0.497  0.497  0.747
Te  0.503  0.503  0.253
Te  0.830  0.830  0.422
Te  0.831  0.831  0.909

Output
magnetic moment	1.3	μB/f.u.
symmetry	C2/m, No. 12
formation energy from raw total energies	-16.348	eV per formula unit